VASP calculation (PBE-GGA) on an optimized crystal structure of SrCaSc2.

Summary:
Size of the total moment: 0.98 μB per cell
Total DFT energy (no corrections): -14.84 eV per cell

Unit cell a=5.6934 b=5.6934 c=4.1347 alpha=90.00 beta=90.00 gamma=90.00
Fractional coordinates of all 4 atoms:
Sr: 0.5000 0.0000 0.5000
Sc: 0.0000 0.0000 0.0000
Ca: 0.0000 0.5000 0.5000
Sc: 0.5000 0.5000 0.0000



VASP calculation (PBE-GGA) on an optimized crystal structure of CePr2Ga6.

Summary:
Size of the total moment: 1.33 μB per cell
Total DFT energy (no corrections): -37.28 eV per cell

Unit cell a=4.4442 b=8.0113 c=8.0113 alpha=54.20 beta=73.90 gamma=73.90
Fractional coordinates of all 9 atoms:
Ga: 0.0000 0.8162 0.1838
Pr: 0.3682 0.1318 0.1318
Ga: 0.8245 0.4878 0.8632
Pr: 0.6318 0.8682 0.8682
Ga: 0.1755 0.5122 0.1368
Ga: 0.0000 0.1838 0.8162
Ga: 0.8245 0.8632 0.4878
Ce: 0.5000 0.5000 0.5000
Ga: 0.1755 0.1368 0.5122



VASP calculation (PBE-GGA) on an optimized crystal structure of NpPaRh2.

Summary:
Size of the total moment: 4.81 μB per cell
Total DFT energy (no corrections): -38.69 eV per cell

Unit cell a=4.8517 b=4.8517 c=4.8517 alpha=60.00 beta=60.00 gamma=60.00
Fractional coordinates of all 4 atoms:
Np: 0.5000 0.5000 0.5000
Rh: 0.7500 0.7500 0.7500
Rh: 0.2500 0.2500 0.2500
Pa: 0.0000 0.0000 0.0000



VASP calculation (PBE-GGA) on an optimized crystal structure of SrDy3Fe.

Summary:
Size of the total moment: 0.00 μB per cell
Total DFT energy (no corrections): -23.55 eV per cell

Unit cell a=5.3707 b=5.3707 c=5.3707 alpha=90.00 beta=90.00 gamma=90.00
Fractional coordinates of all 5 atoms:
Dy: 0.0000 0.5000 0.0000
Dy: 0.5000 0.0000 0.0000
Dy: 0.0000 0.0000 0.5000
Sr: 0.5000 0.5000 0.5000
Fe: 0.0000 0.0000 0.0000